First-principles (GGA+U) data for Na2ZnCo3F12 after structural relaxation, as listed in Alexandria via LeMat-Bulk.

Its total energy is -4.3780 eV per atom. The value obtained for the density is 3.27 g/cm³.

The space group is R-3m (No. 166, hexagonal axes) and the conventional cell measures 7.1685, 7.1685 and 17.6911 Å, with angles of 90.00, 90.00 and 120.00 degrees. Symmetry generates all atoms from Na at (0.0000, 0.0000, 0.1993), Zn at (0.0000, 0.0000, 0.5000), Co at (0.0000, 0.5000, 0.0000), F at (0.0508, 0.5254, 0.1058) and F at (0.0817, 0.5409, 0.3552).